[1]
Density functional theory data (PBE) for a relaxed structure of CoNi3As.

Summary:
The calculation puts the formation energy at 0.93 eV/atom. Its energy above the most stable polymorph in this dataset is 187 meV/atom. As for the crystal system: cubic. For the electronic total energy, the calculation gives -4.89 eV per atom.

a b c (Å): 4.268 4.268 4.268
angles (deg): 90.00 90.00 90.00
Atoms (fractional coordinates):
Co1 0.000 0.000 0.000
Ni1 0.000 0.000 0.500
Ni2 0.000 0.500 0.000
Ni3 0.500 0.000 0.000
As1 0.500 0.500 0.500

[2]
Density functional theory data (PBE) for a relaxed structure of Ir2PbAu.

Summary:
The calculation puts the formation energy at 0.73 eV/atom. As for the crystal system: orthorhombic. For the electronic total energy, the calculation gives -5.45 eV per atom.

a b c (Å): 2.968 2.968 9.396
angles (deg): 90.00 90.00 118.48
Atoms (fractional coordinates):
Ir1 0.000 0.000 0.245
Ir2 0.000 0.000 0.755
Pb1 0.500 0.500 0.500
Au1 0.500 0.500 0.000

[3]
Density functional theory data (PBE) for a relaxed structure of TaMn3In.

Summary:
The calculation puts the formation energy at 1.20 eV/atom. Its energy above the most stable polymorph in this dataset is 0 meV/atom. As for the crystal system: cubic. For the electronic total energy, the calculation gives -7.22 eV per atom.

a b c (Å): 4.693 4.693 4.693
angles (deg): 90.00 90.00 90.00
Atoms (fractional coordinates):
Ta1 0.000 0.000 0.000
Mn1 0.000 0.000 0.500
Mn2 0.000 0.500 0.000
Mn3 0.500 0.000 0.000
In1 0.500 0.500 0.500

[4]
Density functional theory data (PBE) for a relaxed structure of Cu4Ag3Au2.

Summary:
The calculation puts the formation energy at 0.03 eV/atom. As for the crystal system: monoclinic. For the electronic total energy, the calculation gives -3.47 eV per atom.

a b c (Å): 4.617 4.617 8.246
angles (deg): 99.12 99.12 53.22
Atoms (fractional coordinates):
Cu1 0.000 0.000 0.166
Cu2 0.000 0.000 0.834
Cu3 0.334 0.334 0.609
Cu4 0.666 0.666 0.391
Ag1 0.000 0.000 0.500
Ag2 0.334 0.334 0.933
Ag3 0.666 0.666 0.067
Au1 0.334 0.334 0.284
Au2 0.666 0.666 0.716

[5]
Density functional theory data (PBE) for a relaxed structure of ZnRe2Ni.

Summary:
The calculation puts the formation energy at 0.16 eV/atom. As for the crystal system: orthorhombic. For the electronic total energy, the calculation gives -7.83 eV per atom.

a b c (Å): 2.651 2.651 8.436
angles (deg): 90.00 90.00 109.23
Atoms (fractional coordinates):
Zn1 0.000 0.000 0.000
Re1 0.000 0.000 0.469
Re2 0.500 0.500 0.730
Ni1 0.500 0.500 0.231

[6]
Density functional theory data (PBE) for a relaxed structure of MgFe22C6.

Summary:
The calculation puts the formation energy at 0.06 eV/atom. As for the crystal system: cubic. For the electronic total energy, the calculation gives -8.33 eV per atom.

a b c (Å): 7.424 7.424 7.424
angles (deg): 60.00 60.00 60.00
Atoms (fractional coordinates):
Mg1 0.000 0.000 0.000
Fe1 0.000 0.000 0.343
Fe2 0.000 0.000 0.657
Fe3 0.000 0.343 0.000
Fe4 0.000 0.343 0.657
Fe5 0.000 0.657 0.000
Fe6 0.000 0.657 0.343
Fe7 0.151 0.616 0.616
Fe8 0.250 0.250 0.250
Fe9 0.343 0.000 0.000
Fe10 0.343 0.000 0.657
Fe11 0.343 0.657 0.000
Fe12 0.384 0.384 0.384
Fe13 0.384 0.384 0.849
Fe14 0.384 0.849 0.384
Fe15 0.616 0.151 0.616
Fe16 0.616 0.616 0.151
Fe17 0.616 0.616 0.616
Fe18 0.657 0.000 0.000
Fe19 0.657 0.000 0.343
Fe20 0.657 0.343 0.000
Fe21 0.750 0.750 0.750
Fe22 0.849 0.384 0.384
C1 0.276 0.276 0.724
C2 0.276 0.724 0.276
C3 0.276 0.724 0.724
C4 0.724 0.276 0.276
C5 0.724 0.276 0.724
C6 0.724 0.724 0.276

[7]
Density functional theory data (PBE) for a relaxed structure of Ac5In2Os2.

Summary:
The calculation puts the formation energy at -0.13 eV/atom. As for the crystal system: orthorhombic. For the electronic total energy, the calculation gives -5.52 eV per atom.

a b c (Å): 9.723 9.723 8.261
angles (deg): 90.00 90.00 49.52
Atoms (fractional coordinates):
Ac1 0.000 0.000 0.000
Ac2 0.061 0.700 0.679
Ac3 0.200 0.561 0.179
Ac4 0.300 0.939 0.679
Ac5 0.439 0.800 0.179
Ac6 0.500 0.500 0.500
Ac7 0.561 0.200 0.821
Ac8 0.700 0.061 0.321
Ac9 0.800 0.439 0.821
Ac10 0.939 0.300 0.321
In1 0.222 0.222 0.000
In2 0.278 0.278 0.500
In3 0.722 0.722 0.500
In4 0.778 0.778 0.000
Os1 0.105 0.895 0.386
Os2 0.395 0.605 0.886
Os3 0.605 0.395 0.114
Os4 0.895 0.105 0.614

[8]
Density functional theory data (PBE) for a relaxed structure of CdHg3S4.

Summary:
Its energy above the most stable polymorph in this dataset is 2 meV/atom. As for the crystal system: orthorhombic. For the electronic total energy, the calculation gives -2.55 eV per atom.

a b c (Å): 8.457 7.326 6.903
angles (deg): 90.00 90.00 90.00
Atoms (fractional coordinates):
Cd1 0.000 0.167 0.000
Cd2 0.500 0.833 0.500
Hg1 0.000 0.833 0.501
Hg2 0.250 0.333 0.500
Hg3 0.250 0.667 0.000
Hg4 0.500 0.167 0.001
Hg5 0.750 0.333 0.500
Hg6 0.750 0.667 0.000
S1 0.000 0.167 0.627
S2 0.000 0.836 0.124
S3 0.248 0.333 0.123
S4 0.252 0.667 0.623
S5 0.500 0.164 0.624
S6 0.500 0.833 0.127
S7 0.748 0.667 0.623
S8 0.752 0.333 0.123